# PBE-GGA La5Ho4Hg4, relaxed
data_La5Ho4Hg4
_chemical_formula_sum 'La10 Ho8 Hg8'
_cell_length_a 12.484
_cell_length_b 12.484
_cell_length_c 5.195
_cell_angle_alpha 90.00
_cell_angle_beta 90.00
_cell_angle_gamma 90.00
_space_group_name_H-M_alt 'I 4/m'
_space_group_IT_number 87
_space_group_name_Hall '-I 4'
loop_
_atom_site_label
_atom_site_type_symbol
_atom_site_fract_x
_atom_site_fract_y
_atom_site_fract_z
_atom_site_occupancy
La1 La 0.000 0.000 0.000 1
La2 La 0.123 0.188 0.500 1
Ho1 Ho 0.096 0.401 0.000 1
Hg1 Hg 0.087 0.754 0.000 1
# Energy of formation: -0.31 eV/atom
# Crystal system: tetragonal


# PBE-GGA PrMgAs, relaxed
data_PrMgAs
_chemical_formula_sum 'Pr6 Mg6 As6'
_cell_length_a 5.0923
_cell_length_b 5.0923
_cell_length_c 24.9096
_cell_angle_alpha 90.00
_cell_angle_beta 90.00
_cell_angle_gamma 120.00
_space_group_name_H-M_alt 'R -3 m'
_space_group_IT_number 166
_space_group_name_Hall '-R 3 2"'
loop_
_atom_site_label
_atom_site_type_symbol
_atom_site_fract_x
_atom_site_fract_y
_atom_site_fract_z
_atom_site_occupancy
Pr1 Pr 0.0000 0.0000 0.1013 1
Mg1 Mg 0.0000 0.0000 0.3246 1
As1 As 0.0000 0.0000 0.2191 1
# Energy of formation: -0.64 eV/atom
# Crystal system: trigonal


# PBE-GGA CdIn2Br, relaxed
data_CdIn2Br
_chemical_formula_sum 'Cd2 In4 Br2'
_cell_length_a 3.650
_cell_length_b 5.490
_cell_length_c 11.221
_cell_angle_alpha 90.00
_cell_angle_beta 90.00
_cell_angle_gamma 90.00
_space_group_name_H-M_alt 'I m m 2'
_space_group_IT_number 44
loop_
_space_group_symop_operation_xyz
'x,y,z'
'-x,-y,z'
'-x,y,z'
'x,-y,z'
'x+1/2,y+1/2,z+1/2'
'-x+1/2,-y+1/2,z+1/2'
'-x+1/2,y+1/2,z+1/2'
'x+1/2,-y+1/2,z+1/2'
loop_
_atom_site_label
_atom_site_type_symbol
_atom_site_fract_x
_atom_site_fract_y
_atom_site_fract_z
_atom_site_occupancy
Cd1 Cd 0.000 0.000 0.000 1
In1 In 0.000 0.000 0.491 1
In2 In 0.000 0.500 0.736 1
Br1 Br 0.000 0.500 0.251 1
# ΔE_f (raw): -0.169 eV/atom
# Crystal system: orthorhombic


# PBE-GGA KCuPS2, relaxed
data_KCuPS2
_chemical_formula_sum 'K1 Cu1 P1 S2'
_cell_length_a 4.902
_cell_length_b 4.902
_cell_length_c 4.391
_cell_angle_alpha 90.00
_cell_angle_beta 90.00
_cell_angle_gamma 90.00
_space_group_name_H-M_alt 'P 4/m m m'
_space_group_IT_number 123
_space_group_name_Hall '-P 4 2'
loop_
_atom_site_label
_atom_site_type_symbol
_atom_site_fract_x
_atom_site_fract_y
_atom_site_fract_z
_atom_site_occupancy
K1 K 0.000 0.000 0.000 1
Cu1 Cu 0.500 0.500 0.500 1
P1 P 0.500 0.500 0.000 1
S1 S 0.000 0.500 0.500 1
# ΔE_f (raw): 0.144 eV/atom
# Crystal system: tetragonal


# PBE-GGA BaLiLaAg, relaxed
data_BaLiLaAg
_chemical_formula_sum 'Ba4 Li4 La4 Ag4'
_cell_length_a 8.014
_cell_length_b 8.014
_cell_length_c 8.014
_cell_angle_alpha 90.00
_cell_angle_beta 90.00
_cell_angle_gamma 90.00
_space_group_name_H-M_alt 'F -4 3 m'
_space_group_IT_number 216
_space_group_name_Hall 'F -4 2 3'
loop_
_atom_site_label
_atom_site_type_symbol
_atom_site_fract_x
_atom_site_fract_y
_atom_site_fract_z
_atom_site_occupancy
Ba1 Ba 0.000 0.000 0.000 1
Li1 Li 0.250 0.250 0.250 1
La1 La 0.000 0.000 0.500 1
Ag1 Ag 0.250 0.250 0.750 1
# Energy of formation: 0.01 eV/atom
# Crystal system: cubic


# PBE-GGA Nd5Ir2Pt2, relaxed
data_Nd5Ir2Pt2
_chemical_formula_sum 'Nd20 Ir8 Pt8'
_cell_length_a 15.067
_cell_length_b 7.785
_cell_length_c 7.760
_cell_angle_alpha 90.00
_cell_angle_beta 90.00
_cell_angle_gamma 90.00
_space_group_name_H-M_alt 'C m c e'
_space_group_IT_number 64
_space_group_name_Hall '-C 2ac 2'
loop_
_atom_site_label
_atom_site_type_symbol
_atom_site_fract_x
_atom_site_fract_y
_atom_site_fract_z
_atom_site_occupancy
Nd1 Nd 0.000 0.000 0.000 1
Nd2 Nd 0.135 0.174 0.332 1
Ir1 Ir 0.000 0.127 0.625 1
Pt1 Pt 0.203 0.000 0.000 1
# Energy of formation: -0.83 eV/atom
# Crystal system: orthorhombic


# PBE-GGA La2Tm6Sc, relaxed
data_La2Tm6Sc
_chemical_formula_sum 'La8 Tm24 Sc4'
_cell_length_a 14.290
_cell_length_b 13.890
_cell_length_c 6.278
_cell_angle_alpha 90.00
_cell_angle_beta 114.64
_cell_angle_gamma 90.00
_space_group_name_H-M_alt 'C 1 2/c 1'
_space_group_IT_number 15
loop_
_space_group_symop_operation_xyz
'x,y,z'
'-x,-y,-z'
'-x,y,-z+1/2'
'x,-y,z+1/2'
'x+1/2,y+1/2,z'
'-x+1/2,-y+1/2,-z'
'-x+1/2,y+1/2,-z+1/2'
'x+1/2,-y+1/2,z+1/2'
loop_
_atom_site_label
_atom_site_type_symbol
_atom_site_fract_x
_atom_site_fract_y
_atom_site_fract_z
_atom_site_occupancy
La1 La 0.155 0.037 0.335 1
Tm1 Tm 0.055 0.194 0.575 1
Tm2 Tm 0.122 0.427 0.798 1
Tm3 Tm 0.198 0.266 0.210 1
Sc1 Sc 0.000 0.375 0.250 1
# Energy of formation: 0.21 eV/atom
# Crystal system: monoclinic


# PBE-GGA PmBe4Sn3O12, relaxed
data_PmBe4Sn3O12
_chemical_formula_sum 'Pm3 Be12 Sn9 O36'
_cell_length_a 10.2181
_cell_length_b 10.2181
_cell_length_c 7.7997
_cell_angle_alpha 90.00
_cell_angle_beta 90.00
_cell_angle_gamma 120.00
_space_group_name_H-M_alt 'R 3 2'
_space_group_IT_number 155
_space_group_name_Hall 'R 3 2"'
loop_
_atom_site_label
_atom_site_type_symbol
_atom_site_fract_x
_atom_site_fract_y
_atom_site_fract_z
_atom_site_occupancy
Pm1 Pm 0.0000 0.0000 0.0000 1
Be1 Be 0.0000 0.0000 0.5000 1
Be2 Be 0.0000 0.4410 0.5000 1
Sn1 Sn 0.0000 0.5535 0.0000 1
O1 O 0.0000 0.5925 0.5000 1
O2 O 0.0000 0.8492 0.5000 1
O3 O 0.0347 0.2099 0.1802 1
# ΔE_f (raw): -2.140 eV/atom
# Crystal system: trigonal


# PBE-GGA Ba2Sn3AsPt4, relaxed
data_Ba2Sn3AsPt4
_chemical_formula_sum 'Ba2 Sn3 As1 Pt4'
_cell_length_a 4.778
_cell_length_b 4.778
_cell_length_c 10.585
_cell_angle_alpha 90.00
_cell_angle_beta 90.00
_cell_angle_gamma 90.00
_space_group_name_H-M_alt 'P -4 m 2'
_space_group_IT_number 115
loop_
_space_group_symop_operation_xyz
'x,y,z'
'y,-x,-z'
'-x,-y,z'
'-y,x,-z'
'-x,y,z'
'-y,-x,-z'
'x,-y,z'
'y,x,-z'
loop_
_atom_site_label
_atom_site_type_symbol
_atom_site_fract_x
_atom_site_fract_y
_atom_site_fract_z
_atom_site_occupancy
Ba1 Ba 0.000 0.500 0.247 1
Sn1 Sn 0.000 0.000 0.000 1
Sn2 Sn 0.000 0.500 0.622 1
As1 As 0.500 0.500 0.000 1
Pt1 Pt 0.000 0.000 0.500 1
Pt2 Pt 0.000 0.500 0.882 1
Pt3 Pt 0.500 0.500 0.500 1
# Energy of formation: -0.77 eV/atom
# Crystal system: tetragonal


# PBE-GGA Li8TlSn5, relaxed
data_Li8TlSn5
_chemical_formula_sum 'Li16 Tl2 Sn10'
_cell_length_a 7.881
_cell_length_b 7.881
_cell_length_c 9.329
_cell_angle_alpha 90.00
_cell_angle_beta 90.00
_cell_angle_gamma 90.00
_space_group_name_H-M_alt 'I -4'
_space_group_IT_number 82
loop_
_space_group_symop_operation_xyz
'x,y,z'
'y,-x,-z'
'-x,-y,z'
'-y,x,-z'
'x+1/2,y+1/2,z+1/2'
'y+1/2,-x+1/2,-z+1/2'
'-x+1/2,-y+1/2,z+1/2'
'-y+1/2,x+1/2,-z+1/2'
loop_
_atom_site_label
_atom_site_type_symbol
_atom_site_fract_x
_atom_site_fract_y
_atom_site_fract_z
_atom_site_occupancy
Li1 Li 0.077 0.347 0.010 1
Li2 Li 0.087 0.183 0.611 1
Tl1 Tl 0.000 0.000 0.000 1
Sn1 Sn 0.000 0.500 0.750 1
Sn2 Sn 0.135 0.265 0.305 1
# Energy of formation: -0.25 eV/atom
# Crystal system: tetragonal


# PBE-GGA LiY3S4, relaxed
data_LiY3S4
_chemical_formula_sum 'Li1 Y3 S4'
_cell_length_a 5.501
_cell_length_b 5.501
_cell_length_c 5.501
_cell_angle_alpha 90.00
_cell_angle_beta 90.00
_cell_angle_gamma 90.00
_space_group_name_H-M_alt 'P m -3 m'
_space_group_IT_number 221
_space_group_name_Hall '-P 4 2 3'
loop_
_atom_site_label
_atom_site_type_symbol
_atom_site_fract_x
_atom_site_fract_y
_atom_site_fract_z
_atom_site_occupancy
Li1 Li 0.000 0.000 0.000 1
Y1 Y 0.000 0.500 0.500 1
S1 S 0.000 0.000 0.500 1
S2 S 0.500 0.500 0.500 1
# ΔE_f (raw): -1.963 eV/atom
# Crystal system: cubic


# PBE-GGA CeCo3Sn3, relaxed
data_CeCo3Sn3
_chemical_formula_sum 'Ce2 Co6 Sn6'
_cell_length_a 6.891
_cell_length_b 6.891
_cell_length_c 6.891
_cell_angle_alpha 90.00
_cell_angle_beta 90.00
_cell_angle_gamma 90.00
_space_group_name_H-M_alt 'P m -3 n'
_space_group_IT_number 223
_space_group_name_Hall '-P 4n 2 3'
loop_
_atom_site_label
_atom_site_type_symbol
_atom_site_fract_x
_atom_site_fract_y
_atom_site_fract_z
_atom_site_occupancy
Ce1 Ce 0.000 0.000 0.000 1
Co1 Co 0.000 0.250 0.500 1
Sn1 Sn 0.000 0.500 0.250 1
# Energy of formation: 0.31 eV/atom
# Crystal system: cubic


Spin magnetization for the records above, in order: 0.00; 0.00; 0.00; 0.00; 0.00; 0.00; 0.00; 1.13; 0.00; 0.00; 0.00; 2.16 μB per formula unit